Version P
DFT (PBE-GGA) results for a relaxed TiSiW3 crystal.

a b c (Å): 4.568 4.568 4.568
angles (deg): 90.00 90.00 90.00
Fractional coordinates of all 5 atoms:
Ti  0.000  0.000  0.000
Si  0.500  0.500  0.500
W  0.000  0.000  0.500
W  0.000  0.500  0.000
W  0.500  0.000  0.000

## Properties
DOS(E_F), states/eV/f.u.: 6.15
Spin magnetization, μB per atom: 0.00
Crystal system: cubic

=====

Version Q
DFT (PBE-GGA) results for a relaxed TiSiW3 crystal.

a b c (Å): 4.495 4.495 4.495
angles (deg): 90.00 90.00 90.00
Fractional coordinates of all 5 atoms:
Ti  0.000  0.000  0.000
Si  0.500  0.500  0.500
W  0.000  0.500  0.500
W  0.500  0.000  0.500
W  0.500  0.500  0.000

## Properties
DOS(E_F), states/eV/f.u.: 4.89
Spin magnetization, μB per atom: 0.00
Crystal system: cubic

=====

Which structure is the least stable? The one labeled version P.

=====

Version P
DFT (PBE-GGA) results for a relaxed Y3TiSi crystal.

a b c (Å): 5.208 5.208 5.208
angles (deg): 90.00 90.00 90.00
Fractional coordinates of all 5 atoms:
Y  0.000  0.000  0.500
Y  0.000  0.500  0.000
Y  0.500  0.000  0.000
Ti  0.000  0.000  0.000
Si  0.500  0.500  0.500

## Properties
DOS(E_F), states/eV/f.u.: 4.62
Spin magnetization, μB per atom: 0.00
Crystal system: cubic

=====

Version Q
DFT (PBE-GGA) results for a relaxed Y3TiSi crystal.

a b c (Å): 5.402 5.402 5.402
angles (deg): 90.00 90.00 90.00
Fractional coordinates of all 5 atoms:
Y  0.000  0.000  0.500
Y  0.000  0.500  0.000
Y  0.500  0.000  0.000
Ti  0.500  0.500  0.500
Si  0.000  0.000  0.000

## Properties
DOS(E_F), states/eV/f.u.: 4.71
Spin magnetization, μB per atom: 0.96
Crystal system: cubic

=====

Which structure is the least stable? The one labeled version P.

=====

Version P
DFT (PBE-GGA) results for a relaxed YTi3Si crystal.

a b c (Å): 4.765 4.765 4.765
angles (deg): 90.00 90.00 90.00
Fractional coordinates of all 5 atoms:
Y  0.000  0.000  0.000
Ti  0.000  0.500  0.500
Ti  0.500  0.000  0.500
Ti  0.500  0.500  0.000
Si  0.500  0.500  0.500

## Properties
DOS(E_F), states/eV/f.u.: 6.43
Spin magnetization, μB per atom: 0.00
Crystal system: cubic

=====

Version Q
DFT (PBE-GGA) results for a relaxed YTi3Si crystal.

a b c (Å): 4.765 4.765 4.765
angles (deg): 90.00 90.00 90.00
Fractional coordinates of all 5 atoms:
Y  0.000  0.000  0.000
Ti  0.000  0.000  0.500
Ti  0.000  0.500  0.000
Ti  0.500  0.000  0.000
Si  0.500  0.500  0.500

## Properties
DOS(E_F), states/eV/f.u.: 5.17
Spin magnetization, μB per atom: 0.31
Crystal system: cubic

=====

Which structure is the least stable? The one labeled version Q.

=====

Version P
DFT (PBE-GGA) results for a relaxed Y2TiSi2 crystal.

a b c (Å): 7.062 7.062 4.232
angles (deg): 90.00 90.00 90.00
Fractional coordinates of all 10 atoms:
Y  0.178  0.322  0.000
Y  0.322  0.822  0.000
Y  0.678  0.178  0.000
Y  0.822  0.678  0.000
Ti  0.000  0.000  0.500
Ti  0.500  0.500  0.500
Si  0.123  0.623  0.500
Si  0.377  0.123  0.500
Si  0.623  0.877  0.500
Si  0.877  0.377  0.500

## Properties
DOS(E_F), states/eV/f.u.: 3.60
Spin magnetization, μB per atom: 0.36
Crystal system: tetragonal

=====

Version Q
DFT (PBE-GGA) results for a relaxed Y2TiSi2 crystal.

a b c (Å): 2.912 2.912 14.074
angles (deg): 90.00 90.00 90.00
Fractional coordinates of all 5 atoms:
Y  0.000  0.000  0.121
Y  0.000  0.000  0.879
Ti  0.000  0.000  0.500
Si  0.000  0.000  0.321
Si  0.000  0.000  0.679

## Properties
DOS(E_F), states/eV/f.u.: 7.18
Spin magnetization, μB per atom: 0.00
Crystal system: tetragonal

=====

Which structure is the least stable? The one labeled version Q.

=====

Version P
DFT (PBE-GGA) results for a relaxed TiZn2Si2 crystal.

a b c (Å): 6.625 6.625 3.597
angles (deg): 90.00 90.00 90.00
Fractional coordinates of all 10 atoms:
Ti  0.000  0.000  0.000
Ti  0.500  0.500  0.000
Zn  0.171  0.329  0.500
Zn  0.329  0.829  0.500
Zn  0.671  0.171  0.500
Zn  0.829  0.671  0.500
Si  0.130  0.630  0.000
Si  0.370  0.130  0.000
Si  0.630  0.870  0.000
Si  0.870  0.370  0.000

## Properties
DOS(E_F), states/eV/f.u.: 3.28
Spin magnetization, μB per atom: 0.00
Crystal system: tetragonal

=====

Version Q
DFT (PBE-GGA) results for a relaxed TiZn2Si2 crystal.

a b c (Å): 3.700 3.700 11.435
angles (deg): 90.00 90.00 90.00
Fractional coordinates of all 10 atoms:
Ti  0.000  0.000  0.000
Ti  0.500  0.500  0.500
Zn  0.000  0.500  0.250
Zn  0.000  0.500  0.750
Zn  0.500  0.000  0.250
Zn  0.500  0.000  0.750
Si  0.000  0.000  0.401
Si  0.000  0.000  0.599
Si  0.500  0.500  0.099
Si  0.500  0.500  0.901

## Properties
DOS(E_F), states/eV/f.u.: 3.24
Spin magnetization, μB per atom: 0.00
Crystal system: tetragonal

=====

Which structure is the least stable? The one labeled version Q.

=====

Version P
DFT (PBE-GGA) results for a relaxed TiZnSi3 crystal.

a b c (Å): 4.587 4.587 4.587
angles (deg): 90.00 90.00 90.00
Fractional coordinates of all 5 atoms:
Ti  0.000  0.000  0.000
Zn  0.500  0.500  0.500
Si  0.000  0.500  0.500
Si  0.500  0.000  0.500
Si  0.500  0.500  0.000

## Properties
DOS(E_F), states/eV/f.u.: 5.81
Spin magnetization, μB per atom: 0.00
Crystal system: cubic

=====

Version Q
DFT (PBE-GGA) results for a relaxed TiZnSi3 crystal.

a b c (Å): 4.807 4.807 4.807
angles (deg): 90.00 90.00 90.00
Fractional coordinates of all 5 atoms:
Ti  0.000  0.000  0.000
Zn  0.500  0.500  0.500
Si  0.000  0.000  0.500
Si  0.000  0.500  0.000
Si  0.500  0.000  0.000

## Properties
DOS(E_F), states/eV/f.u.: 2.74
Spin magnetization, μB per atom: 0.00
Crystal system: cubic

=====

Which structure is the least stable? The one labeled version P.

=====

Version P
DFT (PBE-GGA) results for a relaxed ZrTi3Si crystal.

a b c (Å): 4.664 4.664 4.664
angles (deg): 90.00 90.00 90.00
Fractional coordinates of all 5 atoms:
Zr  0.000  0.000  0.000
Ti  0.000  0.500  0.500
Ti  0.500  0.000  0.500
Ti  0.500  0.500  0.000
Si  0.500  0.500  0.500

## Properties
DOS(E_F), states/eV/f.u.: 7.35
Spin magnetization, μB per atom: 0.29
Crystal system: cubic

=====

Version Q
DFT (PBE-GGA) results for a relaxed ZrTi3Si crystal.

a b c (Å): 4.753 4.753 4.753
angles (deg): 90.00 90.00 90.00
Fractional coordinates of all 5 atoms:
Zr  0.000  0.000  0.000
Ti  0.000  0.000  0.500
Ti  0.000  0.500  0.000
Ti  0.500  0.000  0.000
Si  0.500  0.500  0.500

## Properties
DOS(E_F), states/eV/f.u.: 6.04
Spin magnetization, μB per atom: 0.32
Crystal system: cubic

=====

Which structure is the least stable? The one labeled version Q.

=====

Version P
DFT (PBE-GGA) results for a relaxed Tl2Si crystal.

a b c (Å): 3.432 3.432 13.571
angles (deg): 90.00 90.00 90.00
Fractional coordinates of all 6 atoms:
Tl  0.000  0.000  0.146
Tl  0.000  0.000  0.854
Tl  0.500  0.500  0.354
Tl  0.500  0.500  0.646
Si  0.000  0.000  0.500
Si  0.500  0.500  0.000

## Properties
DOS(E_F), states/eV/f.u.: 1.43
Spin magnetization, μB per atom: 0.00
Crystal system: tetragonal

=====

Version Q
DFT (PBE-GGA) results for a relaxed Tl2Si crystal.

a b c (Å): 7.642 7.642 5.353
angles (deg): 90.00 90.00 90.00
Fractional coordinates of all 12 atoms:
Tl  0.156  0.344  0.000
Tl  0.156  0.656  0.500
Tl  0.344  0.156  0.500
Tl  0.344  0.844  0.000
Tl  0.656  0.156  0.000
Tl  0.656  0.844  0.500
Tl  0.844  0.344  0.500
Tl  0.844  0.656  0.000
Si  0.000  0.000  0.250
Si  0.000  0.000  0.750
Si  0.500  0.500  0.250
Si  0.500  0.500  0.750

## Properties
DOS(E_F), states/eV/f.u.: 0.98
Spin magnetization, μB per atom: 0.00
Crystal system: tetragonal

=====

Version R
DFT (PBE-GGA) results for a relaxed Tl2Si crystal.

a b c (Å): 5.085 5.085 6.994
angles (deg): 90.00 90.00 120.00
Fractional coordinates of all 6 atoms:
Tl  0.000  0.000  0.000
Tl  0.000  0.000  0.500
Tl  0.333  0.667  0.250
Tl  0.667  0.333  0.750
Si  0.333  0.667  0.750
Si  0.667  0.333  0.250

## Properties
DOS(E_F), states/eV/f.u.: 1.48
Spin magnetization, μB per atom: 0.00
Crystal system: hexagonal

=====

Which structure is the least stable? The one labeled version R.

=====

Version P
DFT (PBE-GGA) results for a relaxed TlSi2 crystal.

a b c (Å): 3.464 3.464 5.666
angles (deg): 90.00 90.00 90.00
Fractional coordinates of all 3 atoms:
Tl  0.000  0.000  0.000
Si  0.000  0.500  0.500
Si  0.500  0.000  0.500

## Properties
DOS(E_F), states/eV/f.u.: 1.80
Spin magnetization, μB per atom: 0.00
Crystal system: tetragonal

=====

Version Q
DFT (PBE-GGA) results for a relaxed TlSi2 crystal.

a b c (Å): 3.403 3.403 11.580
angles (deg): 90.00 90.00 90.00
Fractional coordinates of all 6 atoms:
Tl  0.000  0.000  0.000
Tl  0.500  0.500  0.500
Si  0.000  0.000  0.274
Si  0.000  0.000  0.726
Si  0.500  0.500  0.226
Si  0.500  0.500  0.774

## Properties
DOS(E_F), states/eV/f.u.: 1.49
Spin magnetization, μB per atom: 0.00
Crystal system: tetragonal

=====

Which structure is the least stable? The one labeled version Q.

=====

Version P
DFT (PBE-GGA) results for a relaxed TlSi2 crystal.

a b c (Å): 3.840 3.840 5.513
angles (deg): 90.00 90.00 120.00
Fractional coordinates of all 3 atoms:
Tl  0.000  0.000  0.000
Si  0.333  0.667  0.572
Si  0.667  0.333  0.428

## Properties
DOS(E_F), states/eV/f.u.: 1.50
Spin magnetization, μB per atom: 0.00
Crystal system: trigonal

=====

Version Q
DFT (PBE-GGA) results for a relaxed TlSi2 crystal.

a b c (Å): 12.877 3.290 7.374
angles (deg): 90.00 115.90 90.00
Fractional coordinates of all 12 atoms:
Tl  0.154  0.000  0.116
Tl  0.346  0.500  0.884
Tl  0.654  0.500  0.116
Tl  0.846  0.000  0.884
Si  0.051  0.500  0.380
Si  0.108  0.000  0.667
Si  0.392  0.500  0.333
Si  0.449  0.000  0.620
Si  0.551  0.000  0.380
Si  0.608  0.500  0.667
Si  0.892  0.000  0.333
Si  0.949  0.500  0.620

## Properties
DOS(E_F), states/eV/f.u.: 0.70
Spin magnetization, μB per atom: 0.00
Crystal system: monoclinic

=====

Which structure is the least stable? The one labeled version Q.

=====

Version P
DFT (PBE-GGA) results for a relaxed TlSi2 crystal.

a b c (Å): 5.564 5.564 5.564
angles (deg): 60.00 60.00 60.00
Fractional coordinates of all 6 atoms:
Tl  0.125  0.125  0.125
Tl  0.875  0.875  0.875
Si  0.000  0.500  0.500
Si  0.500  0.000  0.500
Si  0.500  0.500  0.000
Si  0.500  0.500  0.500

## Properties
DOS(E_F), states/eV/f.u.: 2.46
Spin magnetization, μB per atom: 0.00
Crystal system: cubic

=====

Version Q
DFT (PBE-GGA) results for a relaxed TlSi2 crystal.

a b c (Å): 4.703 4.703 6.553
angles (deg): 90.00 90.00 120.00
Fractional coordinates of all 6 atoms:
Tl  0.000  0.000  0.250
Tl  0.000  0.000  0.750
Si  0.333  0.667  0.054
Si  0.333  0.667  0.446
Si  0.667  0.333  0.554
Si  0.667  0.333  0.946

## Properties
DOS(E_F), states/eV/f.u.: 1.02
Spin magnetization, μB per atom: 0.00
Crystal system: hexagonal

=====

Which structure is the least stable? The one labeled version P.

=====

Version P
DFT (PBE-GGA) results for a relaxed TlSi2 crystal.

a b c (Å): 4.541 4.541 13.101
angles (deg): 90.00 90.00 90.00
Fractional coordinates of all 12 atoms:
Tl  0.000  0.250  0.375
Tl  0.000  0.750  0.625
Tl  0.500  0.250  0.125
Tl  0.500  0.750  0.875
Si  0.000  0.250  0.783
Si  0.000  0.250  0.967
Si  0.000  0.750  0.033
Si  0.000  0.750  0.217
Si  0.500  0.250  0.533
Si  0.500  0.250  0.717
Si  0.500  0.750  0.283
Si  0.500  0.750  0.467

## Properties
DOS(E_F), states/eV/f.u.: 1.28
Spin magnetization, μB per atom: 0.00
Crystal system: tetragonal

=====

Version Q
DFT (PBE-GGA) results for a relaxed TlSi2 crystal.

a b c (Å): 5.097 5.097 5.552
angles (deg): 90.00 90.00 120.00
Fractional coordinates of all 6 atoms:
Tl  0.333  0.667  0.250
Tl  0.667  0.333  0.750
Si  0.000  0.000  0.000
Si  0.000  0.000  0.500
Si  0.333  0.667  0.750
Si  0.667  0.333  0.250

## Properties
DOS(E_F), states/eV/f.u.: 1.59
Spin magnetization, μB per atom: 0.00
Crystal system: hexagonal

=====

Which structure is the least stable? The one labeled version Q.

=====

Version P
DFT (PBE-GGA) results for a relaxed Tl3VSi crystal.

a b c (Å): 5.308 5.308 5.308
angles (deg): 90.00 90.00 90.00
Fractional coordinates of all 5 atoms:
Tl  0.000  0.000  0.500
Tl  0.000  0.500  0.000
Tl  0.500  0.000  0.000
V  0.500  0.500  0.500
Si  0.000  0.000  0.000

## Properties
DOS(E_F), states/eV/f.u.: 10.23
Spin magnetization, μB per atom: 0.78
Crystal system: cubic

=====

Version Q
DFT (PBE-GGA) results for a relaxed Tl3VSi crystal.

a b c (Å): 5.381 5.381 5.381
angles (deg): 90.00 90.00 90.00
Fractional coordinates of all 5 atoms:
Tl  0.000  0.000  0.500
Tl  0.000  0.500  0.000
Tl  0.500  0.000  0.000
V  0.000  0.000  0.000
Si  0.500  0.500  0.500

## Properties
DOS(E_F), states/eV/f.u.: 3.03
Spin magnetization, μB per atom: 0.42
Crystal system: cubic

=====

Which structure is the least stable? The one labeled version P.